1.
Density functional theory data (PBE) for an optimized crystal structure of SmCrB4.

Results
The value obtained for the magnetic moment is 0.00 μB per cell. As for the uncorrected energy: -178.24 eV for the cell shown.

Cell: 5.9909 11.5809 3.5087 Å, 90.00 90.00 90.00°
Space group Pbam (No. 55)
Asymmetric unit:
Sm 0.1231 0.1509 0.0000
Cr 0.1203 0.4216 0.0000
B 0.0252 0.6900 0.5000
B 0.1121 0.5460 0.5000
B 0.1398 0.9671 0.5000
B 0.2232 0.8173 0.5000


2.
Density functional theory data (PBE) for an optimized crystal structure of YCd2Br.

Results
The value obtained for the magnetic moment is 0.00 μB per cell. As for the uncorrected energy: -11.72 eV for the cell shown. The formation energy (no corrections) is -0.438 eV per atom. As for the energy above the most stable polymorph in this dataset: 0.0907 eV per atom.

Cell: 3.5164 4.9058 5.9210 Å, 90.00 90.00 90.00°
Space group Pmmm (No. 47)
Asymmetric unit:
Y 0.0000 0.0000 0.0000
Cd 0.0000 0.5000 0.5000
Cd 0.5000 0.0000 0.5000
Br 0.5000 0.5000 0.0000


3.
Density functional theory data (PBE) for an optimized crystal structure of LaCu2Ni4.

Results
The value obtained for the magnetic moment is 2.71 μB per cell. As for the uncorrected energy: -67.88 eV for the cell shown. As for the energy above the most stable polymorph in this dataset: 0.4473 eV per atom.

Cell: 6.9396 6.9396 5.2374 Å, 90.00 90.00 90.00°
Space group I4/mmm (No. 139)
Asymmetric unit:
La 0.0000 0.0000 0.0000
Cu 0.0000 0.5000 0.2500
Ni 0.0000 0.2254 0.5000


4.
Density functional theory data (PBE) for an optimized crystal structure of DyErAgAu.

Results
The value obtained for the magnetic moment is 0.00 μB per cell. As for the uncorrected energy: -70.76 eV for the cell shown. As for the energy above the most stable polymorph in this dataset: 0.0052 eV per atom.

Cell: 7.1964 7.1964 7.1964 Å, 90.00 90.00 90.00°
Space group F-43m (No. 216)
Asymmetric unit:
Dy 0.0000 0.0000 0.0000
Er 0.0000 0.0000 0.5000
Ag 0.2500 0.2500 0.2500
Au 0.2500 0.2500 0.7500


5.
Density functional theory data (PBE) for an optimized crystal structure of Ni3AgRu.

Results
The value obtained for the magnetic moment is 0.00 μB per cell. As for the uncorrected energy: -23.19 eV for the cell shown. As for the energy above the most stable polymorph in this dataset: 0.0000 eV per atom.

Cell: 4.4706 4.4706 4.4706 Å, 90.00 90.00 90.00°
Space group Pm-3m (No. 221)
Asymmetric unit:
Ni 0.0000 0.0000 0.5000
Ag 0.5000 0.5000 0.5000
Ru 0.0000 0.0000 0.0000


6.
Density functional theory data (PBE) for an optimized crystal structure of AsRh2F.

Results
The value obtained for the magnetic moment is 0.00 μB per cell. As for the uncorrected energy: -93.02 eV for the cell shown. The formation energy (no corrections) is -0.508 eV per atom. As for the energy above the most stable polymorph in this dataset: 0.0000 eV per atom.

Cell: 5.9427 5.9427 5.9427 Å, 90.00 90.00 90.00°
Space group Fm-3m (No. 225)
Asymmetric unit:
As 0.0000 0.0000 0.0000
Rh 0.2500 0.2500 0.2500
F 0.0000 0.0000 0.5000


7.
Density functional theory data (PBE) for an optimized crystal structure of Cd2InBr6.

Results
The value obtained for the magnetic moment is 0.00 μB per cell. As for the uncorrected energy: -85.38 eV for the cell shown. The formation energy (no corrections) is -0.749 eV per atom.

Cell: 13.7534 12.8206 7.6208 Å, 90.00 100.52 90.00°
Space group C2/c (No. 15)
Asymmetric unit:
Cd 0.1913 0.0776 0.3194
In 0.0000 0.3817 0.2500
Br 0.1104 0.4329 0.6092
Br 0.1257 0.0883 0.6243
Br 0.1304 0.2434 0.1242


8.
Density functional theory data (PBE) for an optimized crystal structure of Sr3Te.

Results
The value obtained for the magnetic moment is 0.00 μB per cell. As for the uncorrected energy: -20.51 eV for the cell shown. The formation energy (no corrections) is -0.516 eV per atom. As for the energy above the most stable polymorph in this dataset: 0.2405 eV per atom.

Cell: 6.1784 7.4049 7.5023 Å, 90.00 90.00 90.00°
Space group Pmmn (No. 59, origin choice 2)
Asymmetric unit:
Sr 0.2500 0.0051 0.1587
Sr 0.2500 0.2500 0.6301
Te 0.2500 0.7500 0.5862


Number 1: DOS(E_F) 0.38 states/eV/f.u.. Number 2: DOS(E_F) 2.38 states/eV/f.u.. Number 3: DOS(E_F) 5.92 states/eV/f.u.. Number 4: DOS(E_F) 2.69 states/eV/f.u.. Number 5: DOS(E_F) 7.94 states/eV/f.u.. Number 6: DOS(E_F) 3.22 states/eV/f.u.. Number 7: DOS(E_F) 2.48 states/eV/f.u.. Number 8: DOS(E_F) 2.66 states/eV/f.u..